No. 1
First-principles (GGA-PBE) data for a relaxed Ce4PmLu crystal, as listed in Alexandria via LeMat-Bulk.

Lattice parameters (Å, degrees): 6.320 6.320 6.320 60.00 60.00 60.00
Site moments in Bohr magnetons follow the coordinates.
Fractional coordinates of all 6 atoms:
Pm 0.250 0.250 0.250  0.04
Lu 0.000 0.000 0.000  0.10
Ce 0.630 0.110 0.630  0.71
Ce 0.630 0.630 0.110  0.71
Ce 0.630 0.630 0.630  0.71
Ce 0.110 0.630 0.630  0.71

## Properties
Total energy   -5.2956 eV per atom
Calculated density   8.2 g cm⁻³
Crystal system   cubic
Spin magnetization   4.00 μB/cell
ΔH_f (0 K)   1.2 eV per formula unit

=====

No. 2
First-principles (GGA-PBE) data for a relaxed CePmLu crystal, as listed in Alexandria via LeMat-Bulk.

Lattice parameters (Å, degrees): 4.115 4.115 6.316 109.01 109.01 90.00
Site moments in Bohr magnetons follow the coordinates.
Fractional coordinates of all 3 atoms:
Lu 0.282 0.282 0.564  0.05
Ce 0.623 0.623 0.247  0.72
Pm 0.945 0.945 0.889  0.04

## Properties
Total energy   -4.8835 eV per atom
Calculated density   8.0 g cm⁻³
Crystal system   tetragonal
Spin magnetization   1.04 μB/cell
ΔH_f (0 K)   0.6 eV per formula unit
Distance to the lowest polymorph of the same formula   0.1118 eV/atom

=====

No. 3
First-principles (GGA-PBE) data for a relaxed CePmLu crystal, as listed in Alexandria via LeMat-Bulk.

Lattice parameters (Å, degrees): 3.516 3.516 8.649 90.00 90.00 120.00
Site moments in Bohr magnetons follow the coordinates.
Fractional coordinates of all 3 atoms:
Pm 0.000 0.000 0.001  -0.01
Lu 0.333 0.667 0.661  0.01
Ce 0.667 0.333 0.338  0.53

## Properties
Total energy   -4.9953 eV per atom
Calculated density   8.3 g cm⁻³
Crystal system   trigonal
Spin magnetization   0.64 μB/cell
ΔH_f (0 K)   0.2 eV per formula unit
Distance to the lowest polymorph of the same formula   0.0000 eV/atom

=====

No. 4
First-principles (GGA-PBE) data for a relaxed CePmPrLu crystal, as listed in Alexandria via LeMat-Bulk.

Lattice parameters (Å, degrees): 5.717 5.717 5.717 60.00 60.00 60.00
Site moments in Bohr magnetons follow the coordinates.
Fractional coordinates of all 4 atoms:
Ce 0.750 0.750 0.750  0.70
Pr 0.250 0.250 0.250  0.02
Lu 0.000 0.000 0.000  0.01
Pm 0.500 0.500 0.500  0.05

## Properties
Total energy   -4.8165 eV per atom
Calculated density   7.6 g cm⁻³
Crystal system   cubic
Spin magnetization   0.96 μB/cell
ΔH_f (0 K)   0.7 eV per formula unit
Distance to the lowest polymorph of the same formula   0.0000 eV/atom

=====

No. 5
First-principles (GGA-PBE) data for a relaxed CePmLuPu crystal, as listed in Alexandria via LeMat-Bulk.

Lattice parameters (Å, degrees): 5.545 5.545 5.545 60.00 60.00 60.00
Site moments in Bohr magnetons follow the coordinates.
Fractional coordinates of all 4 atoms:
Ce 0.250 0.250 0.250  1.13
Pu 0.000 0.000 0.000  5.68
Pm 0.500 0.500 0.500  0.20
Lu 0.750 0.750 0.750  0.31

## Properties
Total energy   -7.1763 eV per atom
Calculated density   9.7 g cm⁻³
Crystal system   cubic
Spin magnetization   8.54 μB/cell
ΔH_f (0 K)   0.8 eV per formula unit

=====

No. 6
First-principles (GGA-PBE) data for a relaxed CePmLuSn crystal, as listed in Alexandria via LeMat-Bulk.

Lattice parameters (Å, degrees): 5.391 5.391 5.391 60.00 60.00 60.00
Site moments in Bohr magnetons follow the coordinates.
Fractional coordinates of all 4 atoms:
Lu 0.500 0.500 0.500  -0.02
Sn 0.250 0.250 0.250  0.01
Ce 0.750 0.750 0.750  -0.40
Pm 0.000 0.000 0.000  0.00

## Properties
Total energy   -4.9777 eV per atom
Calculated density   8.7 g cm⁻³
Crystal system   cubic
Spin magnetization   0.47 μB/cell
ΔH_f (0 K)   -0.7 eV per formula unit

=====

No. 7
First-principles (GGA-PBE) data for a relaxed CePmLuTh crystal, as listed in Alexandria via LeMat-Bulk.

Lattice parameters (Å, degrees): 5.645 5.645 5.645 60.00 60.00 60.00
Site moments in Bohr magnetons follow the coordinates.
Fractional coordinates of all 4 atoms:
Ce 0.000 0.000 0.000  -0.80
Th 0.750 0.750 0.750  -0.26
Lu 0.250 0.250 0.250  -0.16
Pm 0.500 0.500 0.500  -0.17

## Properties
Total energy   -5.4153 eV per atom
Calculated density   9.0 g cm⁻³
Crystal system   cubic
Spin magnetization   2.08 μB/cell
ΔH_f (0 K)   1.0 eV per formula unit

=====

No. 8
First-principles (GGA-PBE) data for a relaxed CePmLuTl crystal, as listed in Alexandria via LeMat-Bulk.

Lattice parameters (Å, degrees): 5.420 5.420 5.420 60.00 60.00 60.00
Site moments in Bohr magnetons follow the coordinates.
Fractional coordinates of all 4 atoms:
Pm 0.250 0.250 0.250  0.00
Lu 0.750 0.750 0.750  -0.01
Ce 0.500 0.500 0.500  0.15
Tl 0.000 0.000 0.000  0.00

## Properties
Total energy   -4.3601 eV per atom
Calculated density   9.8 g cm⁻³
Crystal system   cubic
Spin magnetization   0.14 μB/cell
ΔH_f (0 K)   0.1 eV per formula unit

=====

No. 9
First-principles (GGA-PBE) data for a relaxed CePmLuZr crystal, as listed in Alexandria via LeMat-Bulk.

Lattice parameters (Å, degrees): 5.445 5.445 5.445 60.00 60.00 60.00
Site moments in Bohr magnetons follow the coordinates.
Fractional coordinates of all 4 atoms:
Zr 0.250 0.250 0.250  0.04
Lu 0.750 0.750 0.750  0.00
Pm 0.000 0.000 0.000  0.00
Ce 0.500 0.500 0.500  0.18

## Properties
Total energy   -5.7333 eV per atom
Calculated density   8.0 g cm⁻³
Crystal system   cubic
Spin magnetization   0.27 μB/cell
ΔH_f (0 K)   0.8 eV per formula unit

=====

No. 10
First-principles (GGA-PBE) data for a relaxed Ce4PrLu crystal, as listed in Alexandria via LeMat-Bulk.

Lattice parameters (Å, degrees): 6.337 6.337 6.337 60.00 60.00 60.00
Site moments in Bohr magnetons follow the coordinates.
Fractional coordinates of all 6 atoms:
Pr 0.250 0.250 0.250  0.03
Ce 0.631 0.631 0.108  0.69
Ce 0.108 0.631 0.631  0.69
Ce 0.631 0.108 0.631  0.69
Ce 0.631 0.631 0.631  0.69
Lu 0.000 0.000 0.000  0.09

## Properties
Total energy   -5.3028 eV per atom
Calculated density   8.1 g cm⁻³
Crystal system   cubic
Spin magnetization   3.87 μB/cell
ΔH_f (0 K)   1.2 eV per formula unit

=====

No. 11
First-principles (GGA-PBE) data for a relaxed CePrLuPu crystal, as listed in Alexandria via LeMat-Bulk.

Lattice parameters (Å, degrees): 5.573 5.573 5.573 60.00 60.00 60.00
Site moments in Bohr magnetons follow the coordinates.
Fractional coordinates of all 4 atoms:
Ce 0.750 0.750 0.750  -1.08
Pu 0.500 0.500 0.500  -5.66
Pr 0.250 0.250 0.250  -0.25
Lu 0.000 0.000 0.000  -0.26

## Properties
Total energy   -7.1948 eV per atom
Calculated density   9.5 g cm⁻³
Crystal system   cubic
Spin magnetization   8.52 μB/cell
ΔH_f (0 K)   0.8 eV per formula unit

=====

No. 12
First-principles (GGA-PBE) data for a relaxed CePrLuSc crystal, as listed in Alexandria via LeMat-Bulk.

Lattice parameters (Å, degrees): 5.549 5.549 5.549 60.00 60.00 60.00
Site moments in Bohr magnetons follow the coordinates.
Fractional coordinates of all 4 atoms:
Sc 0.000 0.000 0.000  -0.01
Pr 0.750 0.750 0.750  -0.02
Lu 0.500 0.500 0.500  -0.01
Ce 0.250 0.250 0.250  0.48

## Properties
Total energy   -5.2669 eV per atom
Calculated density   6.9 g cm⁻³
Crystal system   cubic
Spin magnetization   0.44 μB/cell
ΔH_f (0 K)   0.5 eV per formula unit